1.
## ZrSeI3 (PBE-GGA)

Data for ZrSeI3 after structural relaxation.

**Raw formation energy**: -0.10 eV/atom
**DOS(E_F)**: 7.707 states/eV/cell

Cell: 5.722 5.722 5.722 Å, 90.00 90.00 90.00°
Last column: magnetic moment on the atom in μB.
Fractional positions:
Se (0.500, 0.500, 0.500)  0.88
I (0.000, 0.000, 0.500)  0.06
I (0.500, 0.000, 0.000)  0.04
Zr (0.000, 0.000, 0.000)  -0.14
I (0.000, 0.500, 0.000)  0.03

***

2.
## ReHSeN2 (PBE-GGA)

Data for ReHSeN2 after structural relaxation.

**Excess energy over the best structure of this formula in the dataset**: 1.145 eV per atom
**DOS(E_F)**: 3.823 states/eV/cell

Cell: 3.943 3.943 3.055 Å, 90.00 90.00 90.00°
Fractional positions:
N (0.500, 0.000, 0.000)
N (0.000, 0.500, 0.000)
H (0.000, 0.000, 0.000)
Re (0.500, 0.500, 0.500)
Se (0.000, 0.000, 0.500)

***

3.
## LaTb8Th2 (PBE-GGA)

Data for LaTb8Th2 after structural relaxation.

**Excess energy over the best structure of this formula in the dataset**: 0.000 eV per atom
**Formation enthalpy at 0 K**: 0.10 eV per atom
**DOS(E_F)**: 16.471 states/eV/cell

Cell: 6.057 8.503 8.560 Å, 103.92 109.53 108.58°
Fractional positions:
Tb (0.200, 0.724, 0.537)
La (0.500, 0.000, 0.000)
Tb (0.272, 0.358, 0.266)
Tb (0.728, 0.642, 0.734)
Th (0.673, 0.811, 0.364)
Th (0.327, 0.189, 0.636)
Tb (0.241, 0.537, 0.912)
Tb (0.800, 0.276, 0.463)
Tb (0.759, 0.463, 0.088)
Tb (0.875, 0.093, 0.791)
Tb (0.125, 0.907, 0.209)